(1)
Density functional theory data (GGA-PBE) for a relaxed V2OsPd crystal.

## Properties
- ΔH_f (0 K) (eV/atom) = -0.146
- density of states at the Fermi level (states/eV per atom) = 1.323

Cell lengths 3.9213, 3.9213, 3.6486 Å; angles 90.00, 90.00, 90.00 degrees
Closest atoms and distances in Å follow each position.
Space group P4/mmm (No. 123)
Unique sites:
V (0.0000, 0.5000, 0.0000) (multiplicity 2)  4 Os 2.68, 4 Pd 2.68, 4 V 2.77
Os (0.0000, 0.0000, 0.5000) (multiplicity 1)  8 V 2.68, 4 Pd 2.77
Pd (0.5000, 0.5000, 0.5000) (multiplicity 1)  8 V 2.68, 4 Os 2.77

(2)
Density functional theory data (GGA-PBE) for a relaxed V2OsPd crystal.

## Properties
- ΔH_f (0 K) (eV/atom) = -0.190
- density of states at the Fermi level (states/eV per atom) = 1.258

Cell lengths 2.7642, 2.7642, 7.4392 Å; angles 90.00, 90.00, 90.00 degrees
Closest atoms and distances in Å follow each position.
Space group P4/mmm (No. 123)
Unique sites:
V (0.0000, 0.0000, 0.2377) (multiplicity 2)  4 Os 2.64, 4 Pd 2.76, 4 V 2.76
Os (0.5000, 0.5000, 0.0000) (multiplicity 1)  8 V 2.64, 4 Os 2.76
Pd (0.5000, 0.5000, 0.5000) (multiplicity 1)  8 V 2.76, 4 Pd 2.76

(3)
Density functional theory data (GGA-PBE) for a relaxed VOsPd crystal.

## Properties
- ΔH_f (0 K) (eV/atom) = -0.150
- distance to the lowest polymorph of the same formula (kcal/mol of atoms) = 0.09
- density of states at the Fermi level (states/eV per atom) = 0.851

Cell lengths 9.7800, 2.8249, 6.6440 Å; angles 90.00, 107.76, 90.00 degrees
Closest atoms and distances in Å follow each position.
Space group C2/m (No. 12)
Unique sites:
V (0.0383, 0.0000, 0.2636) (multiplicity 4)  4 Os 2.56-2.58, 5 Pd 2.68-2.78, 2 V 2.82
Os (0.1417, 0.5000, 0.0229) (multiplicity 4)  4 V 2.56-2.58, 5 Os 2.64-2.82, 1 Pd 2.82
Pd (0.1677, 0.5000, 0.6122) (multiplicity 4)  5 V 2.68-2.78, 3 Os 2.82-2.93, 4 Pd 2.82-2.88

(4)
Density functional theory data (GGA-PBE) for a relaxed OsPd3W crystal.

## Properties
- ΔH_f (0 K) (eV/atom) = 1.968
- distance to the lowest polymorph of the same formula (kcal/mol of atoms) = 0.00
- density of states at the Fermi level (states/eV per atom) = 1.178

Cell lengths 4.7260, 4.7260, 4.7260 Å; angles 90.00, 90.00, 90.00 degrees
Closest atoms and distances in Å follow each position.
Space group Pm-3m (No. 221)
Unique sites:
Os (0.0000, 0.0000, 0.0000) (multiplicity 1)  12 Pd 3.34
Pd (0.0000, 0.5000, 0.5000) (multiplicity 3)  2 W 2.36
W (0.5000, 0.5000, 0.5000) (multiplicity 1)  6 Pd 2.36

(5)
Density functional theory data (GGA-PBE) for a relaxed OsPd2W crystal.

## Properties
- ΔH_f (0 K) (eV/atom) = 1.735
- distance to the lowest polymorph of the same formula (kcal/mol of atoms) = 26.57
- density of states at the Fermi level (states/eV per atom) = 1.188

Cell lengths 5.5875, 5.5875, 11.4533 Å; angles 90.00, 90.00, 90.00 degrees
Closest atoms and distances in Å follow each position.
Space group I-42d (No. 122)
Unique sites:
Os (0.0000, 0.0000, 0.0000) (multiplicity 4)  4 Pd 2.42
Pd (0.2454, 0.2500, 0.1250) (multiplicity 8)  2 Os 2.42, 2 W 2.45
W (0.0000, 0.0000, 0.5000) (multiplicity 4)  4 Pd 2.45

(6)
Density functional theory data (GGA-PBE) for a relaxed OsPdW2 crystal.

## Properties
- ΔH_f (0 K) (eV/atom) = 0.428
- distance to the lowest polymorph of the same formula (kcal/mol of atoms) = 8.83
- density of states at the Fermi level (states/eV per atom) = 1.338

Cell lengths 6.3026, 6.3026, 6.3026 Å; angles 90.00, 90.00, 90.00 degrees
Closest atoms and distances in Å follow each position.
Space group Fm-3m (No. 225)
Unique sites:
Os (0.0000, 0.0000, 0.0000) (multiplicity 4)  8 W 2.73
Pd (0.0000, 0.0000, 0.5000) (multiplicity 4)  8 W 2.73
W (0.2500, 0.2500, 0.2500) (multiplicity 8)  4 Os 2.73, 4 Pd 2.73

(7)
Density functional theory data (GGA-PBE) for a relaxed OsPdW2 crystal.

## Properties
- ΔH_f (0 K) (eV/atom) = 0.757
- distance to the lowest polymorph of the same formula (kcal/mol of atoms) = 16.42
- density of states at the Fermi level (states/eV per atom) = 0.923

Cell lengths 7.1134, 7.1134, 5.4275 Å; angles 90.00, 90.00, 90.00 degrees
Closest atoms and distances in Å follow each position.
Space group I-42d (No. 122)
Unique sites:
Os (0.0000, 0.0000, 0.0000) (multiplicity 4)  4 W 2.49, 2 Pd 2.71
Pd (0.0000, 0.0000, 0.5000) (multiplicity 4)  2 Os 2.71, 4 W 2.72
W (0.2266, 0.2500, 0.1250) (multiplicity 8)  2 Os 2.49, 2 Pd 2.72, 2 W 2.73

(8)
Density functional theory data (GGA-PBE) for a relaxed OsPd3W crystal.

## Properties
- ΔH_f (0 K) (eV/atom) = 2.122
- distance to the lowest polymorph of the same formula (kcal/mol of atoms) = 3.55
- density of states at the Fermi level (states/eV per atom) = 2.050

Cell lengths 4.7028, 4.7028, 4.7028 Å; angles 90.00, 90.00, 90.00 degrees
Closest atoms and distances in Å follow each position.
Space group Pm-3m (No. 221)
Unique sites:
Os (0.0000, 0.0000, 0.0000) (multiplicity 1)  6 Pd 2.35
Pd (0.0000, 0.0000, 0.5000) (multiplicity 3)  2 Os 2.35
W (0.5000, 0.5000, 0.5000) (multiplicity 1)  12 Pd 3.33

(9)
Density functional theory data (GGA-PBE) for a relaxed Os3PdW crystal.

## Properties
- ΔH_f (0 K) (eV/atom) = 2.939
- distance to the lowest polymorph of the same formula (kcal/mol of atoms) = 14.86
- density of states at the Fermi level (states/eV per atom) = 1.852

Cell lengths 4.5928, 4.5928, 4.5928 Å; angles 90.00, 90.00, 90.00 degrees
Closest atoms and distances in Å follow each position.
Space group Pm-3m (No. 221)
Unique sites:
Os (0.0000, 0.0000, 0.5000) (multiplicity 3)  2 Pd 2.30
Pd (0.0000, 0.0000, 0.0000) (multiplicity 1)  6 Os 2.30
W (0.5000, 0.5000, 0.5000) (multiplicity 1)  12 Os 3.25

(10)
Density functional theory data (GGA-PBE) for a relaxed Os2PdW crystal.

## Properties
- ΔH_f (0 K) (eV/atom) = 0.350
- distance to the lowest polymorph of the same formula (kcal/mol of atoms) = 6.05
- density of states at the Fermi level (states/eV per atom) = 1.127

Cell lengths 6.2327, 6.2327, 6.2327 Å; angles 90.00, 90.00, 90.00 degrees
Closest atoms and distances in Å follow each position.
Space group Fm-3m (No. 225)
Unique sites:
Os (0.2500, 0.2500, 0.2500) (multiplicity 8)  4 W 2.70, 4 Pd 2.70
Pd (0.0000, 0.0000, 0.0000) (multiplicity 4)  8 Os 2.70
W (0.0000, 0.0000, 0.5000) (multiplicity 4)  8 Os 2.70

(11)
Density functional theory data (GGA-PBE) for a relaxed Os2PdW crystal.

## Properties
- ΔH_f (0 K) (eV/atom) = 0.087
- distance to the lowest polymorph of the same formula (kcal/mol of atoms) = 0.00
- density of states at the Fermi level (states/eV per atom) = 0.314

Cell lengths 3.9362, 3.9362, 3.8245 Å; angles 90.00, 90.00, 90.00 degrees
Closest atoms and distances in Å follow each position.
Space group P4/mmm (No. 123)
Unique sites:
Os (0.0000, 0.5000, 0.0000) (multiplicity 2)  4 W 2.74, 4 Pd 2.74, 4 Os 2.78
Pd (0.0000, 0.0000, 0.5000) (multiplicity 1)  8 Os 2.74, 4 W 2.78
W (0.5000, 0.5000, 0.5000) (multiplicity 1)  8 Os 2.74, 4 Pd 2.78

(12)
Density functional theory data (GGA-PBE) for a relaxed Os3PdW crystal.

## Properties
- ΔH_f (0 K) (eV/atom) = 2.294
- distance to the lowest polymorph of the same formula (kcal/mol of atoms) = 0.00
- density of states at the Fermi level (states/eV per atom) = 1.275

Cell lengths 4.7014, 4.7014, 4.7014 Å; angles 90.00, 90.00, 90.00 degrees
Closest atoms and distances in Å follow each position.
Space group Pm-3m (No. 221)
Unique sites:
Os (0.0000, 0.0000, 0.5000) (multiplicity 3)  2 W 2.35
Pd (0.5000, 0.5000, 0.5000) (multiplicity 1)  12 Os 3.32
W (0.0000, 0.0000, 0.0000) (multiplicity 1)  6 Os 2.35

(13)
Density functional theory data (GGA-PBE) for a relaxed OsPd2W crystal.

## Properties
- ΔH_f (0 K) (eV/atom) = 0.583
- distance to the lowest polymorph of the same formula (kcal/mol of atoms) = 0.00
- density of states at the Fermi level (states/eV per atom) = 1.237

Cell lengths 6.2601, 6.2601, 6.2601 Å; angles 90.00, 90.00, 90.00 degrees
Closest atoms and distances in Å follow each position.
Space group Fm-3m (No. 225)
Unique sites:
Os (0.0000, 0.0000, 0.0000) (multiplicity 4)  8 Pd 2.71
Pd (0.2500, 0.2500, 0.2500) (multiplicity 8)  4 W 2.71, 4 Os 2.71
W (0.0000, 0.0000, 0.5000) (multiplicity 4)  8 Pd 2.71

(14)
Density functional theory data (GGA-PBE) for a relaxed OsPdW2 crystal.

## Properties
- ΔH_f (0 K) (eV/atom) = 0.045
- distance to the lowest polymorph of the same formula (kcal/mol of atoms) = 0.00
- density of states at the Fermi level (states/eV per atom) = 0.593

Cell lengths 3.9319, 3.9319, 3.9495 Å; angles 90.00, 90.00, 90.00 degrees
Closest atoms and distances in Å follow each position.
Space group P4/mmm (No. 123)
Unique sites:
Os (0.0000, 0.0000, 0.0000) (multiplicity 1)  4 Pd 2.78, 8 W 2.79
Pd (0.5000, 0.5000, 0.0000) (multiplicity 1)  4 Os 2.78, 8 W 2.79
W (0.0000, 0.5000, 0.5000) (multiplicity 2)  4 W 2.78, 4 Os 2.79, 4 Pd 2.79

(15)
Density functional theory data (GGA-PBE) for a relaxed Os2PdW crystal.

## Properties
- ΔH_f (0 K) (eV/atom) = 1.517
- distance to the lowest polymorph of the same formula (kcal/mol of atoms) = 32.96
- density of states at the Fermi level (states/eV per atom) = 0.927

Cell lengths 5.8499, 5.8499, 10.4615 Å; angles 90.00, 90.00, 90.00 degrees
Closest atoms and distances in Å follow each position.
Space group I-42d (No. 122)
Unique sites:
Os (0.2480, 0.2500, 0.1250) (multiplicity 8)  2 W 2.44, 2 Pd 2.45
Pd (0.0000, 0.0000, 0.5000) (multiplicity 4)  4 Os 2.45
W (0.0000, 0.0000, 0.0000) (multiplicity 4)  4 Os 2.44

(16)
Density functional theory data (GGA-PBE) for a relaxed YOs2Pd2 crystal.

## Properties
- ΔH_f (0 K) (eV/atom) = 0.074
- distance to the lowest polymorph of the same formula (kcal/mol of atoms) = 0.00
- density of states at the Fermi level (states/eV per atom) = 0.906

Cell lengths 3.6833, 3.6833, 13.3958 Å; angles 90.00, 90.00, 90.00 degrees
Closest atoms and distances in Å follow each position.
Space group I4/mmm (No. 139)
Unique sites:
Y (0.0000, 0.0000, 0.0000) (multiplicity 2)  8 Pd 2.93
Os (0.0000, 0.5000, 0.2500) (multiplicity 4)  4 Os 2.60, 4 Pd 2.72
Pd (0.0000, 0.0000, 0.3995) (multiplicity 4)  1 Pd 2.69, 4 Os 2.72, 4 Y 2.93

(17)
Density functional theory data (GGA-PBE) for a relaxed Y2OsPd crystal.

## Properties
- ΔH_f (0 K) (eV/atom) = 0.678
- density of states at the Fermi level (states/eV per atom) = 0.961

Cell lengths 2.9631, 5.3373, 10.7586 Å; angles 90.00, 90.00, 90.00 degrees
Closest atoms and distances in Å follow each position.
Space group Immm (No. 71)
Unique sites:
Y (0.0000, 0.0000, 0.2495) (multiplicity 4)  1 Pd 2.68, 1 Os 2.70, 2 Y 2.96
Os (0.0000, 0.0000, 0.5000) (multiplicity 2)  2 Y 2.70, 2 Os 2.96
Pd (0.0000, 0.0000, 0.0000) (multiplicity 2)  2 Y 2.68, 2 Pd 2.96

(18)
Density functional theory data (GGA-PBE) for a relaxed Y2OsPd crystal.

## Properties
- ΔH_f (0 K) (eV/atom) = -0.537
- density of states at the Fermi level (states/eV per atom) = 0.574

Cell lengths 3.4468, 3.4468, 7.0122 Å; angles 90.00, 90.00, 90.00 degrees
Closest atoms and distances in Å follow each position.
Space group P4/mmm (No. 123)
Unique sites:
Y (0.0000, 0.0000, 0.2384) (multiplicity 2)  4 Os 2.96, 4 Pd 3.05
Os (0.5000, 0.5000, 0.0000) (multiplicity 1)  8 Y 2.96
Pd (0.5000, 0.5000, 0.5000) (multiplicity 1)  8 Y 3.05

(19)
Density functional theory data (GGA-PBE) for a relaxed Y2Os2Pd crystal.

## Properties
- ΔH_f (0 K) (eV/atom) = -0.190
- density of states at the Fermi level (states/eV per atom) = 1.031

Cell lengths 6.9061, 6.9061, 4.3289 Å; angles 90.00, 90.00, 90.00 degrees
Closest atoms and distances in Å follow each position.
Space group P4/mbm (No. 127)
Unique sites:
Y (0.1800, 0.3200, 0.0000) (multiplicity 4)  6 Os 2.91-3.03
Os (0.1212, 0.6212, 0.5000) (multiplicity 4)  1 Os 2.37
Pd (0.0000, 0.0000, 0.5000) (multiplicity 2)  4 Os 2.75

(20)
Density functional theory data (GGA-PBE) for a relaxed Y4OsPd crystal.

## Properties
- ΔH_f (0 K) (eV/atom) = -0.426
- distance to the lowest polymorph of the same formula (kcal/mol of atoms) = 0.00
- density of states at the Fermi level (states/eV per atom) = 0.933

Cell lengths 8.2785, 12.3728, 6.2848 Å; angles 90.00, 104.24, 90.00 degrees
Closest atoms and distances in Å follow each position.
Space group C2/c (No. 15)
Unique sites:
Y (0.1004, 0.1755, 0.0345) (multiplicity 8)  2 Os 2.79-2.81, 1 Pd 3.01
Y (0.1999, 0.4277, 0.4297) (multiplicity 8)  2 Os 2.92-3.10, 2 Pd 2.98-3.04
Os (0.0000, 0.0005, 0.2500) (multiplicity 4)  8 Y 2.79-3.10
Pd (0.0000, 0.3720, 0.7500) (multiplicity 4)  8 Y 2.98-3.30